Entry 1:
Here is a relaxed AlGaHg2 crystal from Alexandria via LeMat-Bulk. Energies are from GGA-PBE.

Calculated values
Energy relative to the lowest polymorph listed for this composition, eV/atom: 0.008
Size of the total moment, μB/cell: 0.0
Crystal system: tetragonal

The structure in CIF format:
```
data_AlGaHg2
_chemical_formula_sum 'Al1 Ga1 Hg2'
_space_group_name_H-M_alt 'P 4/m m m'
_space_group_IT_number 123
_space_group_name_Hall '-P 4 2'
_cell_length_a 4.5306
_cell_length_b 4.5306
_cell_length_c 4.2124
_cell_angle_alpha 90.00
_cell_angle_beta 90.00
_cell_angle_gamma 90.00
loop_
_atom_site_label
_atom_site_type_symbol
_atom_site_fract_x
_atom_site_fract_y
_atom_site_fract_z
Al1 Al 0.0000 0.0000 0.0000
Ga1 Ga 0.5000 0.5000 0.0000
Hg1 Hg 0.0000 0.5000 0.5000
```

---

Entry 2:
Here is a relaxed AlGa2HgIr crystal from Alexandria via LeMat-Bulk. Energies are from GGA-PBE.

Calculated values
Uncorrected energy, eV per atom: -4.04
Size of the total moment, μB/cell: 0.0
Crystal system: tetragonal

The structure in CIF format:
```
data_AlGa2HgIr
_chemical_formula_sum 'Al1 Ga2 Hg1 Ir1'
_space_group_name_H-M_alt 'P 4/m m m'
_space_group_IT_number 123
_space_group_name_Hall '-P 4 2'
_cell_length_a 4.8560
_cell_length_b 4.8560
_cell_length_c 4.8334
_cell_angle_alpha 90.00
_cell_angle_beta 90.00
_cell_angle_gamma 90.00
loop_
_atom_site_label
_atom_site_type_symbol
_atom_site_fract_x
_atom_site_fract_y
_atom_site_fract_z
Al1 Al 0.0000 0.0000 0.0000
Ga1 Ga 0.0000 0.5000 0.5000
Hg1 Hg 0.5000 0.5000 0.0000
Ir1 Ir 0.0000 0.0000 0.5000
```

---

Entry 3:
Here is a relaxed La2Al4GaHg3 crystal from Alexandria via LeMat-Bulk. Energies are from GGA-PBE.

Calculated values
Uncorrected energy, eV per atom: -3.28
Size of the total moment, μB/cell: 0.0
Crystal system: tetragonal

The structure in CIF format:
```
data_La2Al4GaHg3
_chemical_formula_sum 'La2 Al4 Ga1 Hg3'
_space_group_name_H-M_alt 'P -4 m 2'
_space_group_IT_number 115
_space_group_name_Hall 'P -4 -2'
_cell_length_a 4.5209
_cell_length_b 4.5209
_cell_length_c 11.0204
_cell_angle_alpha 90.00
_cell_angle_beta 90.00
_cell_angle_gamma 90.00
loop_
_atom_site_label
_atom_site_type_symbol
_atom_site_fract_x
_atom_site_fract_y
_atom_site_fract_z
La1 La 0.0000 0.5000 0.2434
Al1 Al 0.0000 0.0000 0.5000
Al2 Al 0.0000 0.5000 0.8705
Al3 Al 0.5000 0.5000 0.5000
Ga1 Ga 0.5000 0.5000 0.0000
Hg1 Hg 0.0000 0.0000 0.0000
Hg2 Hg 0.0000 0.5000 0.6365
```

---

Entry 4:
Here is a relaxed LaAlGaHg crystal from Alexandria via LeMat-Bulk. Energies are from GGA-PBE.

Calculated values
Uncorrected energy, eV per atom: -3.31
Size of the total moment, μB/cell: 0.0
Crystal system: cubic

The structure in CIF format:
```
data_LaAlGaHg
_chemical_formula_sum 'La4 Al4 Ga4 Hg4'
_space_group_name_H-M_alt 'F -4 3 m'
_space_group_IT_number 216
_space_group_name_Hall 'F -4 2 3'
_cell_length_a 7.2226
_cell_length_b 7.2226
_cell_length_c 7.2226
_cell_angle_alpha 90.00
_cell_angle_beta 90.00
_cell_angle_gamma 90.00
loop_
_atom_site_label
_atom_site_type_symbol
_atom_site_fract_x
_atom_site_fract_y
_atom_site_fract_z
La1 La 0.0000 0.0000 0.0000
Al1 Al 0.0000 0.0000 0.5000
Ga1 Ga 0.2500 0.2500 0.2500
Hg1 Hg 0.2500 0.2500 0.7500
```

---

Entry 5:
Here is a relaxed LuAlGaHg crystal from Alexandria via LeMat-Bulk. Energies are from GGA-PBE.

Calculated values
Uncorrected energy, eV per atom: -3.09
Size of the total moment, μB/cell: 0.0
Crystal system: cubic

The structure in CIF format:
```
data_LuAlGaHg
_chemical_formula_sum 'Lu4 Al4 Ga4 Hg4'
_space_group_name_H-M_alt 'F -4 3 m'
_space_group_IT_number 216
_space_group_name_Hall 'F -4 2 3'
_cell_length_a 6.9220
_cell_length_b 6.9220
_cell_length_c 6.9220
_cell_angle_alpha 90.00
_cell_angle_beta 90.00
_cell_angle_gamma 90.00
loop_
_atom_site_label
_atom_site_type_symbol
_atom_site_fract_x
_atom_site_fract_y
_atom_site_fract_z
Lu1 Lu 0.0000 0.0000 0.0000
Al1 Al 0.0000 0.0000 0.5000
Ga1 Ga 0.2500 0.2500 0.7500
Hg1 Hg 0.2500 0.2500 0.2500
```

---

Entry 6:
Here is a relaxed MgAlGaHg crystal from Alexandria via LeMat-Bulk. Energies are from GGA-PBE.

Calculated values
Uncorrected energy, eV per atom: -2.16
Size of the total moment, μB/cell: 0.0
Crystal system: cubic

The structure in CIF format:
```
data_MgAlGaHg
_chemical_formula_sum 'Mg4 Al4 Ga4 Hg4'
_space_group_name_H-M_alt 'F -4 3 m'
_space_group_IT_number 216
_space_group_name_Hall 'F -4 2 3'
_cell_length_a 6.8069
_cell_length_b 6.8069
_cell_length_c 6.8069
_cell_angle_alpha 90.00
_cell_angle_beta 90.00
_cell_angle_gamma 90.00
loop_
_atom_site_label
_atom_site_type_symbol
_atom_site_fract_x
_atom_site_fract_y
_atom_site_fract_z
Mg1 Mg 0.0000 0.0000 0.0000
Al1 Al 0.0000 0.0000 0.5000
Ga1 Ga 0.2500 0.2500 0.7500
Hg1 Hg 0.2500 0.2500 0.2500
```

---

Entry 7:
Here is a relaxed AlGaHgN2 crystal from Alexandria via LeMat-Bulk. Energies are from GGA-PBE.

Calculated values
Size of the total moment, μB/cell: 2.0
Crystal system: tetragonal
Raw formation energy, eV/atom: 1.8792

The structure in CIF format:
```
data_AlGaHgN2
_chemical_formula_sum 'Al1 Ga1 Hg1 N2'
_space_group_name_H-M_alt 'P 4/m m m'
_space_group_IT_number 123
_space_group_name_Hall '-P 4 2'
_cell_length_a 4.2949
_cell_length_b 4.2949
_cell_length_c 5.3921
_cell_angle_alpha 90.00
_cell_angle_beta 90.00
_cell_angle_gamma 90.00
loop_
_atom_site_label
_atom_site_type_symbol
_atom_site_fract_x
_atom_site_fract_y
_atom_site_fract_z
Al1 Al 0.0000 0.0000 0.0000
Ga1 Ga 0.5000 0.5000 0.0000
Hg1 Hg 0.5000 0.5000 0.5000
N1 N 0.0000 0.5000 0.5000
```

---

Entry 8:
Here is a relaxed NpAlGaHg crystal from Alexandria via LeMat-Bulk. Energies are from GGA-PBE.

Calculated values
Uncorrected energy, eV per atom: -4.91
Size of the total moment, μB/cell: 16.0
Crystal system: cubic

The structure in CIF format:
```
data_NpAlGaHg
_chemical_formula_sum 'Np4 Al4 Ga4 Hg4'
_space_group_name_H-M_alt 'F -4 3 m'
_space_group_IT_number 216
_space_group_name_Hall 'F -4 2 3'
_cell_length_a 6.9867
_cell_length_b 6.9867
_cell_length_c 6.9867
_cell_angle_alpha 90.00
_cell_angle_beta 90.00
_cell_angle_gamma 90.00
loop_
_atom_site_label
_atom_site_type_symbol
_atom_site_fract_x
_atom_site_fract_y
_atom_site_fract_z
Np1 Np 0.0000 0.0000 0.0000
Al1 Al 0.0000 0.0000 0.5000
Ga1 Ga 0.2500 0.2500 0.7500
Hg1 Hg 0.2500 0.2500 0.2500
```

---

Entry 9:
Here is a relaxed AlGaHgO2 crystal from Alexandria via LeMat-Bulk. Energies are from GGA-PBE.

Calculated values
Size of the total moment, μB/cell: 0.0
Crystal system: tetragonal
Raw formation energy, eV/atom: 0.4383

The structure in CIF format:
```
data_AlGaHgO2
_chemical_formula_sum 'Al1 Ga1 Hg1 O2'
_space_group_name_H-M_alt 'P 4/m m m'
_space_group_IT_number 123
_space_group_name_Hall '-P 4 2'
_cell_length_a 4.2101
_cell_length_b 4.2101
_cell_length_c 5.3302
_cell_angle_alpha 90.00
_cell_angle_beta 90.00
_cell_angle_gamma 90.00
loop_
_atom_site_label
_atom_site_type_symbol
_atom_site_fract_x
_atom_site_fract_y
_atom_site_fract_z
Al1 Al 0.0000 0.0000 0.0000
Ga1 Ga 0.5000 0.5000 0.0000
Hg1 Hg 0.5000 0.5000 0.5000
O1 O 0.0000 0.5000 0.5000
```

---

Entry 10:
Here is a relaxed AlGaHgOs2 crystal from Alexandria via LeMat-Bulk. Energies are from GGA-PBE.

Calculated values
Uncorrected energy, eV per atom: -4.51
Size of the total moment, μB/cell: 0.7
Crystal system: tetragonal

The structure in CIF format:
```
data_AlGaHgOs2
_chemical_formula_sum 'Al1 Ga1 Hg1 Os2'
_space_group_name_H-M_alt 'P 4/m m m'
_space_group_IT_number 123
_space_group_name_Hall '-P 4 2'
_cell_length_a 4.6142
_cell_length_b 4.6142
_cell_length_c 4.4732
_cell_angle_alpha 90.00
_cell_angle_beta 90.00
_cell_angle_gamma 90.00
loop_
_atom_site_label
_atom_site_type_symbol
_atom_site_fract_x
_atom_site_fract_y
_atom_site_fract_z
Al1 Al 0.0000 0.0000 0.0000
Ga1 Ga 0.0000 0.0000 0.5000
Hg1 Hg 0.5000 0.5000 0.0000
Os1 Os 0.0000 0.5000 0.5000
```

---

Entry 11:
Here is a relaxed PaAlGaHg crystal from Alexandria via LeMat-Bulk. Energies are from GGA-PBE.

Calculated values
Uncorrected energy, eV per atom: -4.15
Size of the total moment, μB/cell: 2.4
Crystal system: cubic

The structure in CIF format:
```
data_PaAlGaHg
_chemical_formula_sum 'Pa4 Al4 Ga4 Hg4'
_space_group_name_H-M_alt 'F -4 3 m'
_space_group_IT_number 216
_space_group_name_Hall 'F -4 2 3'
_cell_length_a 6.9922
_cell_length_b 6.9922
_cell_length_c 6.9922
_cell_angle_alpha 90.00
_cell_angle_beta 90.00
_cell_angle_gamma 90.00
loop_
_atom_site_label
_atom_site_type_symbol
_atom_site_fract_x
_atom_site_fract_y
_atom_site_fract_z
Pa1 Pa 0.0000 0.0000 0.0000
Al1 Al 0.0000 0.0000 0.5000
Ga1 Ga 0.2500 0.2500 0.7500
Hg1 Hg 0.2500 0.2500 0.2500
```

---

Entry 12:
Here is a relaxed PmAlGaHg crystal from Alexandria via LeMat-Bulk. Energies are from GGA-PBE.

Calculated values
Uncorrected energy, eV per atom: -3.20
Size of the total moment, μB/cell: 0.0
Crystal system: cubic

The structure in CIF format:
```
data_PmAlGaHg
_chemical_formula_sum 'Pm4 Al4 Ga4 Hg4'
_space_group_name_H-M_alt 'F -4 3 m'
_space_group_IT_number 216
_space_group_name_Hall 'F -4 2 3'
_cell_length_a 7.1058
_cell_length_b 7.1058
_cell_length_c 7.1058
_cell_angle_alpha 90.00
_cell_angle_beta 90.00
_cell_angle_gamma 90.00
loop_
_atom_site_label
_atom_site_type_symbol
_atom_site_fract_x
_atom_site_fract_y
_atom_site_fract_z
Pm1 Pm 0.0000 0.0000 0.0000
Al1 Al 0.0000 0.0000 0.5000
Ga1 Ga 0.2500 0.2500 0.7500
Hg1 Hg 0.2500 0.2500 0.2500
```

---

Entry 13:
Here is a relaxed Pm4Al2GaHg crystal from Alexandria via LeMat-Bulk. Energies are from GGA-PBE.

Calculated values
Uncorrected energy, eV per atom: -4.15
Size of the total moment, μB/cell: 0.0
Crystal system: trigonal

The structure in CIF format:
```
data_Pm4Al2GaHg
_chemical_formula_sum 'Pm12 Al6 Ga3 Hg3'
_space_group_name_H-M_alt 'R -3 m'
_space_group_IT_number 166
_space_group_name_Hall '-R 3 2"'
_cell_length_a 5.2849
_cell_length_b 5.2849
_cell_length_c 25.8116
_cell_angle_alpha 90.00
_cell_angle_beta 90.00
_cell_angle_gamma 120.00
loop_
_atom_site_label
_atom_site_type_symbol
_atom_site_fract_x
_atom_site_fract_y
_atom_site_fract_z
Pm1 Pm 0.0000 0.0000 0.1219
Pm2 Pm 0.0000 0.0000 0.3723
Al1 Al 0.0000 0.0000 0.2477
Ga1 Ga 0.0000 0.0000 0.0000
Hg1 Hg 0.0000 0.0000 0.5000
```